Here is ThTlCd11 after structural relaxation from Alexandria. Energies are from PBE.

Cell and atoms, written as CIF:
```
data_ThTlCd11
_space_group_name_H-M_alt 'C 1 2/m 1'
_space_group_IT_number 12
_cell_length_a 6.172
_cell_length_b 14.196
_cell_length_c 7.643
_cell_angle_alpha 90.00
_cell_angle_beta 113.05
_cell_angle_gamma 90.00
loop_
_space_group_symop_operation_xyz
'x,y,z'
'-x,-y,-z'
'-x,y,-z'
'x,-y,z'
'x+1/2,y+1/2,z'
'-x+1/2,-y+1/2,-z'
'-x+1/2,y+1/2,-z'
'x+1/2,-y+1/2,z'
loop_
_atom_site_label
_atom_site_fract_x
_atom_site_fract_y
_atom_site_fract_z
Th1 0.000 0.000 0.000
Tl1 0.000 0.000 0.500
Cd1 0.000 0.500 0.500
Cd2 0.091 0.394 0.207
Cd3 0.182 0.179 0.349
Cd4 0.250 0.250 0.000
```

- Energy of formation from the pure elements: 2.6 meV per atom